1.
{
  "formula": "CsBeCu3",
  "functional": "meta-GGA SCAN",
  "state": "single point on PBEsol structure",
  "cell": [[4.5194, 0.0000, 0.0000], [0.0000, 4.5194, 0.0000], [0.0000, 0.0000, 4.5194]],
  "species": ["Cs", "Be", "Cu", "Cu", "Cu"],
  "frac_coords": [[0.0000, 0.0000, 0.0000], [0.5000, 0.5000, 0.5000], [0.0000, 0.5000, 0.5000], [0.5000, 0.0000, 0.5000], [0.5000, 0.5000, 0.0000]],
  "delta_e_f_ev_per_atom": 0.7142
}

2.
{
  "formula": "CsGeAsSe2",
  "functional": "meta-GGA SCAN",
  "state": "single point on PBEsol structure",
  "cell": [[5.5443, 0.0000, 0.0000], [0.0000, 5.5443, 0.0000], [0.0000, 0.0000, 5.6067]],
  "species": ["Cs", "Ge", "As", "Se", "Se"],
  "frac_coords": [[0.0000, 0.0000, 0.0000], [0.5000, 0.5000, 0.5000], [0.0000, 0.0000, 0.5000], [0.0000, 0.5000, 0.0000], [0.5000, 0.0000, 0.0000]],
  "e_form_raw_ev_per_atom": 1.564
}

3.
{
  "formula": "NaMg2TaB",
  "functional": "meta-GGA SCAN",
  "state": "single point on PBEsol structure",
  "cell": [[4.5298, 0.0000, 0.0000], [0.0000, 4.5298, 0.0000], [0.0000, 0.0000, 5.0383]],
  "species": ["Na", "Mg", "Mg", "Ta", "B"],
  "frac_coords": [[0.0000, 0.0000, 0.0000], [0.0000, 0.5000, 0.0000], [0.5000, 0.0000, 0.0000], [0.0000, 0.0000, 0.5000], [0.5000, 0.5000, 0.5000]],
  "delta_e_f_ev_per_atom": 2.3754
}

4.
{
  "formula": "ZrInMo2",
  "functional": "meta-GGA SCAN",
  "state": "single point on PBEsol structure",
  "cell": [[-1.7157, 2.2785, 4.5750], [1.7157, -2.2785, 4.5750], [1.7157, 2.2785, -4.5750]],
  "species": ["Zr", "In", "Mo", "Mo"],
  "frac_coords": [[0.0000, 0.0000, 0.0000], [0.5000, 0.5000, 0.0000], [0.2433, 0.7433, 0.5000], [0.7567, 0.2567, 0.5000]],
  "delta_e_f_ev_per_atom": 0.1507
}

5.
{
  "formula": "SrAlTl3",
  "functional": "meta-GGA SCAN",
  "state": "single point on PBEsol structure",
  "cell": [[6.0202, 0.0000, 0.0000], [0.0000, 6.0202, 0.0000], [0.0000, 0.0000, 6.0202]],
  "species": ["Sr", "Al", "Tl", "Tl", "Tl"],
  "frac_coords": [[0.0000, 0.0000, 0.0000], [0.5000, 0.5000, 0.5000], [0.0000, 0.0000, 0.5000], [0.0000, 0.5000, 0.0000], [0.5000, 0.0000, 0.0000]],
  "delta_e_f_ev_per_atom": 0.8202
}

6.
{
  "formula": "AlAg5",
  "functional": "meta-GGA SCAN",
  "state": "single point on PBEsol structure",
  "cell": [[6.0713, -1.4400, 0.0000], [6.0713, 1.4400, 0.0000], [-1.3366, 0.0000, 5.6002]],
  "species": ["Al", "Ag", "Ag", "Ag", "Ag", "Ag"],
  "frac_coords": [[0.0000, 0.0000, 0.0000], [0.0000, 0.0000, 0.5000], [0.3341, 0.3341, 0.6719], [0.3386, 0.3386, 0.1622], [0.6614, 0.6614, 0.8378], [0.6659, 0.6659, 0.3281]],
  "delta_e_f_ev_per_atom": -0.0551,
  "polymorph_energy_mev_per_atom": 12.6
}

7.
{
  "formula": "MnAl2SnPb",
  "functional": "meta-GGA SCAN",
  "state": "single point on PBEsol structure",
  "cell": [[4.6845, 0.0000, 0.0000], [0.0000, 4.6845, 0.0000], [0.0000, 0.0000, 4.9063]],
  "species": ["Mn", "Al", "Al", "Sn", "Pb"],
  "frac_coords": [[0.0000, 0.0000, 0.0000], [0.0000, 0.5000, 0.0000], [0.5000, 0.0000, 0.0000], [0.0000, 0.0000, 0.5000], [0.5000, 0.5000, 0.5000]],
  "delta_e_f_ev_per_atom": 0.2618
}

8.
{
  "formula": "Ba2Cu",
  "functional": "meta-GGA SCAN",
  "state": "single point on PBEsol structure",
  "cell": [[7.8673, 0.0000, 0.0000], [0.0000, 7.8673, 0.0000], [0.0000, 0.0000, 7.8673]],
  "species": ["Ba", "Ba", "Ba", "Ba", "Ba", "Ba", "Ba", "Ba", "Cu", "Cu", "Cu", "Cu"],
  "frac_coords": [[0.1705, 0.1705, 0.1705], [0.1705, 0.3295, 0.6705], [0.3295, 0.6705, 0.1705], [0.3295, 0.8295, 0.6705], [0.6705, 0.1705, 0.3295], [0.6705, 0.3295, 0.8295], [0.8295, 0.6705, 0.3295], [0.8295, 0.8295, 0.8295], [0.0000, 0.0000, 0.5000], [0.0000, 0.5000, 0.0000], [0.5000, 0.0000, 0.0000], [0.5000, 0.5000, 0.5000]],
  "delta_e_f_ev_per_atom": 0.0822
}

9.
{
  "formula": "Mn2TcSe",
  "functional": "meta-GGA SCAN",
  "state": "single point on PBEsol structure",
  "cell": [[2.9663, 0.0000, 0.0000], [0.0000, 4.1129, 0.0000], [0.0000, 0.0000, 4.1644]],
  "species": ["Mn", "Mn", "Tc", "Se"],
  "frac_coords": [[0.0000, 0.0000, 0.0000], [0.5000, 0.0000, 0.5000], [0.0000, 0.5000, 0.5000], [0.5000, 0.5000, 0.0000]],
  "e_form_raw_ev_per_atom": 0.068
}

10.
{
  "formula": "ErSeO3F",
  "functional": "meta-GGA SCAN",
  "state": "single point on PBEsol structure",
  "cell": [[6.5169, 0.0000, 0.0000], [0.0000, 6.7720, 0.0000], [-1.1071, 0.0000, 6.9649]],
  "species": ["Er", "Er", "Er", "Er", "Se", "Se", "Se", "Se", "O", "O", "O", "O", "O", "O", "O", "O", "O", "O", "O", "O", "F", "F", "F", "F"],
  "frac_coords": [[0.1368, 0.1422, 0.3241], [0.1368, 0.3578, 0.8241], [0.8632, 0.6422, 0.1759], [0.8632, 0.8578, 0.6759], [0.3564, 0.6170, 0.2927], [0.3564, 0.8830, 0.7927], [0.6436, 0.1170, 0.2073], [0.6436, 0.3830, 0.7073], [0.1737, 0.0356, 0.6476], [0.1737, 0.4644, 0.1476], [0.1753, 0.6939, 0.7842], [0.1753, 0.8061, 0.2842], [0.4839, 0.1902, 0.3636], [0.4839, 0.3098, 0.8636], [0.5161, 0.6902, 0.1364], [0.5161, 0.8098, 0.6364], [0.8247, 0.1939, 0.7158], [0.8247, 0.3061, 0.2158], [0.8263, 0.5356, 0.8524], [0.8263, 0.9644, 0.3524], [0.1706, 0.1108, 0.0244], [0.1706, 0.3892, 0.5244], [0.8294, 0.6108, 0.4756], [0.8294, 0.8892, 0.9756]],
  "e_form_raw_ev_per_atom": -2.630
}

11.
{
  "formula": "Ag3TePt",
  "functional": "meta-GGA SCAN",
  "state": "single point on PBEsol structure",
  "cell": [[4.9650, 0.0000, 0.0000], [0.0000, 4.9650, 0.0000], [0.0000, 0.0000, 4.9650]],
  "species": ["Ag", "Ag", "Ag", "Te", "Pt"],
  "frac_coords": [[0.0000, 0.0000, 0.5000], [0.0000, 0.5000, 0.0000], [0.5000, 0.0000, 0.0000], [0.5000, 0.5000, 0.5000], [0.0000, 0.0000, 0.0000]],
  "e_form_raw_ev_per_atom": 0.696
}

12.
{
  "formula": "Nb2HO",
  "functional": "meta-GGA SCAN",
  "state": "single point on PBEsol structure",
  "cell": [[-2.2855, 2.2855, 4.6366], [2.2855, -2.2855, 4.6366], [2.2855, 2.2855, -4.6366]],
  "species": ["Nb", "Nb", "Nb", "Nb", "H", "H", "O", "O"],
  "frac_coords": [[0.1050, 0.6250, 0.9800], [0.3750, 0.3550, 0.4800], [0.6450, 0.1250, 0.0200], [0.8750, 0.8950, 0.5200], [0.0000, 0.0000, 0.0000], [0.7500, 0.2500, 0.5000], [0.2500, 0.7500, 0.5000], [0.5000, 0.5000, 0.0000]]
}

Number 1: E_tot -84.191 eV for the cell shown. Number 2: E_tot -109.424 eV for the cell shown. Number 3: E_tot -76.298 eV for the cell shown. Number 4: E_tot -133.253 eV for the cell shown. Number 5: E_tot -243.001 eV for the cell shown. Number 6: E_tot -164.918 eV for the cell shown. Number 7: E_tot -144.152 eV for the cell shown. Number 8: E_tot -376.212 eV for the cell shown. Number 9: E_tot -91.377 eV for the cell shown. Number 10: E_tot -433.731 eV for the cell shown. Number 11: E_tot -198.065 eV for the cell shown. Number 12: E_tot -158.709 eV for the cell shown.